Record 1
Here is a geometry-optimized La2TlRh structure from Alexandria. Energies are from PBE-GGA.

Summary:
The size of the total moment comes out at 0.00 μB per atom. Its symmetry is No. 123. Its energy of formation is -0.54 eV per atom.

```
La2TlRh
1.0
3.577 0.000 0.000
0.000 3.577 0.000
0.000 0.000 8.590
La Tl Rh
2 1 1
Direct
0.000 0.000 0.204
0.000 0.000 0.796
0.500 0.500 0.500
0.500 0.500 0.000
```

=====

Record 2
Here is a geometry-optimized La3Tl2Rh structure from Alexandria. Energies are from PBE-GGA.

Summary:
The size of the total moment comes out at 0.00 μB per atom. Its symmetry is No. 15. Its energy of formation is -0.42 eV per atom.

```
La3Tl2Rh
1.0
8.066 -3.063 0.000
8.066 3.063 0.000
-2.004 0.000 7.799
La Tl Rh
6 4 2
Direct
0.001 0.999 0.750
0.372 0.372 0.437
0.372 0.372 0.937
0.628 0.628 0.063
0.628 0.628 0.563
0.999 0.001 0.250
0.197 0.198 0.600
0.198 0.197 0.100
0.802 0.803 0.900
0.803 0.802 0.400
0.499 0.501 0.250
0.501 0.499 0.750
```

=====

Record 3
Here is a geometry-optimized LaTlRh structure from Alexandria. Energies are from PBE-GGA.

Summary:
The size of the total moment comes out at 0.00 μB per atom. Its symmetry is No. 216. Its energy of formation is 0.18 eV per atom.

```
LaTlRh
1.0
0.000 3.536 3.536
3.536 0.000 3.536
3.536 3.536 0.000
La Tl Rh
1 1 1
Direct
0.000 0.000 0.000
0.750 0.750 0.750
0.250 0.250 0.250
```

=====

Record 4
Here is a geometry-optimized LaTl2Rh structure from Alexandria. Energies are from PBE-GGA.

Summary:
The size of the total moment comes out at 0.00 μB per atom. Its symmetry is No. 38. Its energy of formation is -0.37 eV per atom.

```
LaTl2Rh
1.0
3.858 0.000 0.000
0.000 2.072 6.737
0.000 -2.072 6.737
La Tl Rh
1 2 1
Direct
0.000 0.000 0.000
0.000 0.291 0.291
0.500 0.669 0.669
0.500 0.458 0.458
```

=====

Record 5
Here is a geometry-optimized La2TlRh structure from Alexandria. Energies are from PBE-GGA.

Summary:
The size of the total moment comes out at 0.00 μB per atom. Its symmetry is No. 10. Its energy of formation is -0.53 eV per atom.

```
La2TlRh
1.0
3.834 0.000 0.000
0.000 3.804 0.000
-0.808 0.000 7.577
La Tl Rh
2 1 1
Direct
0.067 0.000 0.286
0.933 0.000 0.714
0.500 0.500 0.000
0.500 0.500 0.500
```

=====

Record 6
Here is a geometry-optimized La12TlRh6 structure from Alexandria. Energies are from PBE-GGA.

Summary:
The size of the total moment comes out at 0.00 μB per atom. Its symmetry is No. 204. Its energy of formation is -0.58 eV per atom.

```
La12TlRh6
1.0
-5.192 5.192 5.192
5.192 -5.192 5.192
5.192 5.192 -5.192
La Tl Rh
12 1 6
Direct
0.126 0.309 0.817
0.183 0.493 0.309
0.183 0.874 0.691
0.309 0.183 0.493
0.309 0.817 0.126
0.493 0.309 0.183
0.507 0.691 0.817
0.691 0.183 0.874
0.691 0.817 0.507
0.817 0.126 0.309
0.817 0.507 0.691
0.874 0.691 0.183
0.000 0.000 0.000
0.138 0.500 0.638
0.362 0.862 0.500
0.500 0.362 0.862
0.500 0.638 0.138
0.638 0.138 0.500
0.862 0.500 0.362
```

=====

Record 7
Here is a geometry-optimized LaTlRh4 structure from Alexandria. Energies are from PBE-GGA.

Summary:
The size of the total moment comes out at 0.00 μB per atom. Its symmetry is No. 216. Its energy of formation is -0.32 eV per atom.

```
LaTlRh4
1.0
0.000 3.815 3.815
3.815 0.000 3.815
3.815 3.815 0.000
La Tl Rh
1 1 4
Direct
0.000 0.000 0.000
0.750 0.750 0.750
0.376 0.376 0.376
0.376 0.376 0.873
0.376 0.873 0.376
0.873 0.376 0.376
```

=====

Record 8
Here is a geometry-optimized La2TlRh structure from Alexandria. Energies are from PBE-GGA.

Summary:
The size of the total moment comes out at 0.00 μB per atom. Its symmetry is No. 63. Its energy of formation is -0.59 eV per atom.

```
La2TlRh
1.0
2.025 -7.599 0.000
2.025 7.599 0.000
0.000 0.000 7.562
La Tl Rh
4 2 2
Direct
0.142 0.858 0.501
0.142 0.858 0.999
0.858 0.142 0.001
0.858 0.142 0.499
0.500 0.500 0.250
0.500 0.500 0.750
0.304 0.696 0.250
0.696 0.304 0.750
```